Computed, not measured: crystalline LaDy4Ho2 at its relaxed geometry at the GGA-PBE level of DFT.

a = 7.0744 Å, b = 8.6138 Å, c = 8.8376 Å
α = 114.56°, β = 101.43°, γ = 101.80°
With the nearest neighbours (Å) after each atom.
Space group P1 (No. 1)
One atom of each set of equivalent atoms:
La  0.0000  0.0000  0.0000 x1  7 Dy 3.36-3.64, 3 Ho 3.51-3.64
La  0.3018  0.6672  0.5453 x1  5 Ho 3.53-3.84, 8 Dy 3.60-3.82
Dy  0.0254  0.8265  0.2780 x1  3 Ho 3.17-3.52, 1 La 3.36, 2 Dy 3.51-3.52
Dy  0.1065  0.5543  0.8727 x1  7 Dy 3.52-3.82, 4 Ho 3.56-3.89, 2 La 3.81-3.82
Dy  0.3877  0.4027  0.1363 x1  3 Ho 3.17-3.50, 2 Dy 3.36-3.48, 1 La 3.51
Dy  0.4133  0.2288  0.4144 x1  7 Dy 3.36-3.61, 3 Ho 3.50-3.76, 2 La 3.64-3.76
Dy  0.5003  0.0008  0.0008 x1  3 Ho 3.33-3.64, 4 Dy 3.48-3.63, 3 La 3.54-3.60
Dy  0.6078  0.5542  0.8703 x1  7 Dy 3.52-3.82, 4 Ho 3.55-3.86, 2 La 3.81-3.82
Dy  0.7041  0.1170  0.7025 x1  4 Ho 3.35-3.54, 5 Dy 3.52-3.71, 1 La 3.63
Dy  0.9083  0.2317  0.4152 x1  4 Ho 3.38-3.73, 6 Dy 3.50-3.62, 2 La 3.64-3.74
Ho  0.2074  0.1234  0.7054 x1  9 Dy 3.33-3.67, 1 La 3.64
Ho  0.5254  0.8237  0.2719 x1  6 Dy 3.17-3.52
Ho  0.8010  0.6668  0.5369 x1  3 La 3.53-3.64, 7 Dy 3.57-3.89, 3 Ho 3.58-3.84
Ho  0.8815  0.4033  0.1337 x1  5 Dy 3.17-3.50, 1 La 3.51

Values from the calculation:
- Energy above the lowest structure with this stoichiometry: 0 meV per atom
- Calculated density: 8.17 Mg/m³
- Formation enthalpy at 0 K: 42 meV/atom
- Final energy: -64.40 eV/cell

Computed, not measured: crystalline ZrGe3As at its relaxed geometry at the GGA-PBE level of DFT.

a = 4.8922 Å, b = 4.8922 Å, c = 4.8922 Å
α = 90.00°, β = 90.00°, γ = 90.00°
With the nearest neighbours (Å) after each atom.
Space group Pm-3m (No. 221)
One atom of each set of equivalent atoms:
Zr  0.0000  0.0000  0.0000 x1  12 Ge 3.46
Ge  0.0000  0.5000  0.5000 x3  2 As 2.45
As  0.5000  0.5000  0.5000 x1  6 Ge 2.45

Values from the calculation:
- Energy above the lowest structure with this stoichiometry: 0 meV per atom
- Calculated density: 5.45 Mg/m³
- Formation enthalpy at 0 K: 747 meV/atom
- Final energy: -23.31 eV/cell

Computed, not measured: crystalline CsNa2PmI6 at its relaxed geometry at the GGA-PBE level of DFT.

a = 8.3266 Å, b = 8.3266 Å, c = 23.1372 Å
α = 90.00°, β = 90.00°, γ = 120.00°
With the nearest neighbours (Å) after each atom.
Space group R3 (No. 146, hexagonal axes)
One atom of each set of equivalent atoms:
Cs  0.0000  0.0000  0.0000 x3  6 I 3.77-4.05
Na  0.0000  0.0000  0.2001 x3  6 I 3.22-3.31
Na  0.0000  0.0000  0.7200 x3  6 I 3.29-3.36
Pm  0.0000  0.0000  0.5293 x3  6 I 3.13-3.14
I  0.9997  0.3207  0.4589 x9  1 Pm 3.13, 2 Na 3.29-3.31
I  0.1044  0.7581  0.2844 x9  1 Pm 3.14, 2 Na 3.22-3.36

Values from the calculation:
- Calculated density: 3.89 Mg/m³
- Formation energy without anion corrections: -1.37 eV/atom
- Final energy: -93.70 eV/cell